<a>
# PBE Pm3Nd7Tm, optimized geometry
data_Pm3Nd7Tm
_space_group_name_H-M_alt 'P 1'
_space_group_IT_number 1
_space_group_name_Hall 'P 1'
_cell_length_a 10.2908
_cell_length_b 10.3480
_cell_length_c 11.2853
_cell_angle_alpha 90.00
_cell_angle_beta 90.00
_cell_angle_gamma 139.65
loop_
_atom_site_label
_atom_site_type_symbol
_atom_site_fract_x
_atom_site_fract_y
_atom_site_fract_z
Tm1 Tm 0.5000 0.5000 0.5000
Pm1 Pm 0.7578 0.2731 0.2500
Nd1 Nd 0.4112 0.0939 0.9551
Pm2 Pm 0.2272 0.7537 0.2500
Nd2 Nd 0.2006 0.3015 0.7500
Nd3 Nd 0.3462 0.1688 0.2500
Pm3 Pm 0.0000 0.0000 0.5000
Pm4 Pm 0.7728 0.2463 0.7500
Nd4 Nd 0.1859 0.3557 0.2500
Pm5 Pm 0.2422 0.7269 0.7500
Nd5 Nd 0.7994 0.6985 0.2500
Pm6 Pm 0.0000 0.0000 0.0000
Nd6 Nd 0.0893 0.4164 0.9901
Nd7 Nd 0.8141 0.6443 0.7500
Nd8 Nd 0.9107 0.5836 0.4901
Nd9 Nd 0.0893 0.4164 0.5099
Tm2 Tm 0.5000 0.5000 0.0000
Nd10 Nd 0.9107 0.5836 0.0099
Nd11 Nd 0.4112 0.0939 0.5449
Nd12 Nd 0.5888 0.9061 0.0449
Nd13 Nd 0.6538 0.8312 0.7500
Nd14 Nd 0.5888 0.9061 0.4551
# density of states at the Fermi level: 1.48 states/eV per atom
# magnetic moment: 0.00 μB/cell

<b>
# PBE Pm3Nd7Tm, optimized geometry
data_Pm3Nd7Tm
_space_group_name_H-M_alt 'P 1'
_space_group_IT_number 1
_space_group_name_Hall 'P 1'
_cell_length_a 5.9801
_cell_length_b 8.6209
_cell_length_c 8.6209
_cell_angle_alpha 82.86
_cell_angle_beta 110.25
_cell_angle_gamma 110.25
loop_
_atom_site_label
_atom_site_type_symbol
_atom_site_fract_x
_atom_site_fract_y
_atom_site_fract_z
Pm1 Pm 0.0000 0.2081 0.7919
Pm2 Pm 0.5000 0.0000 0.0000
Nd1 Nd 0.3049 0.0129 0.5976
Nd2 Nd 0.6951 0.4024 0.9871
Nd3 Nd 0.2110 0.2103 0.2103
Pm3 Pm 0.0000 0.7919 0.2081
Nd4 Nd 0.7890 0.7897 0.7897
Tm1 Tm 0.5000 0.5000 0.5000
Nd5 Nd 0.6951 0.9871 0.4024
Nd6 Nd 0.0000 0.5000 0.5000
Nd7 Nd 0.3049 0.5976 0.0129
# density of states at the Fermi level: 1.47 states/eV per atom
# magnetic moment: 0.00 μB/cell

Relative stability in meV per atom, measured from the most stable structure: <a> 0; <b> 109

<a>
# PBE Pm3Nd3Tm, optimized geometry
data_Pm3Nd3Tm
_space_group_name_H-M_alt 'P 1'
_space_group_IT_number 1
_space_group_name_Hall 'P 1'
_cell_length_a 8.9755
_cell_length_b 8.9755
_cell_length_c 8.9755
_cell_angle_alpha 58.53
_cell_angle_beta 58.53
_cell_angle_gamma 58.53
loop_
_atom_site_label
_atom_site_type_symbol
_atom_site_fract_x
_atom_site_fract_y
_atom_site_fract_z
Tm1 Tm 0.3447 0.3447 0.3447
Nd1 Nd 0.2949 0.8170 0.0628
Tm2 Tm 0.6553 0.6553 0.6553
Pm1 Pm 0.2797 0.4331 0.9307
Nd2 Nd 0.9372 0.7051 0.1830
Pm2 Pm 0.0693 0.7203 0.5669
Nd3 Nd 0.8170 0.0628 0.2949
Pm3 Pm 0.7203 0.5669 0.0693
Pm4 Pm 0.5669 0.0693 0.7203
Pm5 Pm 0.9307 0.2797 0.4331
Nd4 Nd 0.1830 0.9372 0.7051
Nd5 Nd 0.7051 0.1830 0.9372
Nd6 Nd 0.0628 0.2949 0.8170
Pm6 Pm 0.4331 0.9307 0.2797
# density of states at the Fermi level: 1.41 states/eV per atom
# magnetic moment: 0.00 μB/cell

<b>
# PBE Pm3Nd3Tm, optimized geometry
data_Pm3Nd3Tm
_space_group_name_H-M_alt 'P 1'
_space_group_IT_number 1
_space_group_name_Hall 'P 1'
_cell_length_a 5.8484
_cell_length_b 9.7577
_cell_length_c 9.7545
_cell_angle_alpha 120.00
_cell_angle_beta 90.00
_cell_angle_gamma 90.00
loop_
_atom_site_label
_atom_site_type_symbol
_atom_site_fract_x
_atom_site_fract_y
_atom_site_fract_z
Pm1 Pm 0.2500 0.9531 0.7608
Pm2 Pm 0.7500 0.1927 0.9530
Tm1 Tm 0.7500 0.3334 0.6665
Nd1 Nd 0.7500 0.9050 0.5240
Nd2 Nd 0.2500 0.0950 0.4760
Pm3 Pm 0.7500 0.7605 0.8072
Tm2 Tm 0.2500 0.6666 0.3335
Nd3 Nd 0.2500 0.5240 0.6191
Nd4 Nd 0.7500 0.6191 0.0950
Nd5 Nd 0.7500 0.4760 0.3809
Pm4 Pm 0.2500 0.8073 0.0470
Pm5 Pm 0.7500 0.0469 0.2392
Pm6 Pm 0.2500 0.2395 0.1928
Nd6 Nd 0.2500 0.3809 0.9050
# density of states at the Fermi level: 1.70 states/eV per atom
# magnetic moment: 0.00 μB/cell

Relative stability in meV per atom, measured from the most stable structure: <a> 195; <b> 0

<a>
# PBE PmNd3Tm4, optimized geometry
data_PmNd3Tm4
_space_group_name_H-M_alt 'P 1'
_space_group_IT_number 1
_space_group_name_Hall 'P 1'
_cell_length_a 6.2727
_cell_length_b 7.3005
_cell_length_c 11.4643
_cell_angle_alpha 90.00
_cell_angle_beta 90.00
_cell_angle_gamma 90.00
loop_
_atom_site_label
_atom_site_type_symbol
_atom_site_fract_x
_atom_site_fract_y
_atom_site_fract_z
Nd1 Nd 0.4833 0.3713 0.7495
Tm1 Tm 0.4810 0.8804 0.7498
Tm2 Tm 0.1475 0.8805 0.0000
Tm3 Tm 0.4810 0.8804 0.2502
Pm1 Pm 0.6459 0.6297 0.5000
Pm2 Pm 0.1459 0.3703 0.0000
Nd2 Nd 0.9833 0.6287 0.7505
Tm4 Tm 0.6475 0.1195 0.5000
Nd3 Nd 0.1448 0.3716 0.5000
Nd4 Nd 0.4833 0.3713 0.2505
Tm5 Tm 0.9810 0.1196 0.7502
Tm6 Tm 0.6484 0.1199 0.0000
Nd5 Nd 0.9833 0.6287 0.2495
Tm7 Tm 0.1484 0.8801 0.5000
Tm8 Tm 0.9810 0.1196 0.2498
Nd6 Nd 0.6448 0.6284 0.0000
# density of states at the Fermi level: 1.86 states/eV per atom
# magnetic moment: 0.00 μB/cell

<b>
# PBE PmNd3Tm4, optimized geometry
data_PmNd3Tm4
_space_group_name_H-M_alt 'P 1'
_space_group_IT_number 1
_space_group_name_Hall 'P 1'
_cell_length_a 10.0794
_cell_length_b 7.1527
_cell_length_c 7.1815
_cell_angle_alpha 90.00
_cell_angle_beta 90.00
_cell_angle_gamma 90.00
loop_
_atom_site_label
_atom_site_type_symbol
_atom_site_fract_x
_atom_site_fract_y
_atom_site_fract_z
Nd1 Nd 0.2506 0.0607 0.7499
Tm1 Tm 0.0002 0.8106 0.0000
Tm2 Tm 0.5000 0.8106 0.5000
Tm3 Tm 0.2505 0.5605 0.2501
Nd2 Nd 0.0000 0.8106 0.5000
Tm4 Tm 0.2505 0.5605 0.7499
Nd3 Nd 0.7494 0.5607 0.2499
Tm5 Tm 0.7495 0.0605 0.2499
Pm1 Pm 0.5003 0.3106 0.5000
Nd4 Nd 0.7494 0.5607 0.7501
Pm2 Pm 0.4997 0.8106 0.0000
Tm6 Tm 0.9998 0.3106 0.5000
Tm7 Tm 0.7495 0.0605 0.7501
Nd5 Nd 0.2506 0.0607 0.2501
Tm8 Tm 0.5000 0.3106 0.0000
Nd6 Nd 0.0000 0.3106 0.0000
# density of states at the Fermi level: 1.32 states/eV per atom
# magnetic moment: 0.00 μB/cell

Relative stability in meV per atom, measured from the most stable structure: <a> 6; <b> 0

<a>
# PBE Pm2Nd2Tm3, optimized geometry
data_Pm2Nd2Tm3
_space_group_name_H-M_alt 'P 1'
_space_group_IT_number 1
_space_group_name_Hall 'P 1'
_cell_length_a 5.0804
_cell_length_b 6.2084
_cell_length_c 9.5005
_cell_angle_alpha 57.03
_cell_angle_beta 74.49
_cell_angle_gamma 65.85
loop_
_atom_site_label
_atom_site_type_symbol
_atom_site_fract_x
_atom_site_fract_y
_atom_site_fract_z
Pm1 Pm 0.9289 0.4305 0.7117
Tm1 Tm 0.5000 0.0000 0.0000
Nd1 Nd 0.7866 0.2820 0.1448
Nd2 Nd 0.2134 0.7180 0.8552
Pm2 Pm 0.0711 0.5695 0.2883
Tm2 Tm 0.3571 0.8576 0.4282
Tm3 Tm 0.6429 0.1424 0.5718
# density of states at the Fermi level: 1.47 states/eV per atom
# magnetic moment: 0.00 μB/cell

<b>
# PBE Pm2Nd2Tm3, optimized geometry
data_Pm2Nd2Tm3
_space_group_name_H-M_alt 'P 1'
_space_group_IT_number 1
_space_group_name_Hall 'P 1'
_cell_length_a 3.5053
_cell_length_b 8.7783
_cell_length_c 8.6435
_cell_angle_alpha 116.15
_cell_angle_beta 101.70
_cell_angle_gamma 90.00
loop_
_atom_site_label
_atom_site_type_symbol
_atom_site_fract_x
_atom_site_fract_y
_atom_site_fract_z
Nd1 Nd 0.0803 0.2050 0.1607
Nd2 Nd 0.9197 0.7950 0.8393
Tm1 Tm 0.2201 0.6433 0.4403
Pm1 Pm 0.3607 0.0932 0.7215
Tm2 Tm 0.0000 0.5000 0.0000
Pm2 Pm 0.6393 0.9068 0.2785
Tm3 Tm 0.7799 0.3567 0.5597
# density of states at the Fermi level: 1.68 states/eV per atom
# magnetic moment: 0.00 μB/cell

Relative stability in meV per atom, measured from the most stable structure: <a> 0; <b> 114